This record from the Open Quantum Materials Database describes a relaxed SmDyB2As2Ir2 crystal. The functional is PBE-GGA.

a = 3.9907 Å, b = 3.9907 Å, c = 8.6536 Å
α = 90.00°, β = 90.00°, γ = 90.00°
With the nearest neighbours (Å) after each atom.
Positions (direct):
Sm: 0.0000 0.0000 0.0000  5 As 2.88-3.09, 4 Ir 3.21
Dy: 0.5000 0.5000 0.5807  5 As 2.87-3.04, 4 Ir 3.20
B: 0.0000 0.0000 0.3948  1 As 2.14, 4 Ir 2.19
B: 0.5000 0.5000 0.1830  1 As 2.17, 4 Ir 2.20
As: 0.0000 0.0000 0.6426  1 B 2.14
As: 0.5000 0.5000 0.9319  1 B 2.17
Ir: 0.0000 0.5000 0.2911  4 B 2.19-2.20
Ir: 0.5000 0.0000 0.2911  4 B 2.19-2.20

## Properties
E_tot in eV for the cell shown: -56.6
Space-group type: P4mm, No. 99

---

This record from the Open Quantum Materials Database describes a relaxed DyTmNi2B2As2 crystal. The functional is PBE-GGA.

a = 3.8955 Å, b = 3.8955 Å, c = 8.2217 Å
α = 90.00°, β = 90.00°, γ = 90.00°
With the nearest neighbours (Å) after each atom.
Positions (direct):
Dy: 0.0000 0.0000 0.0000  5 As 2.84-3.14, 4 Ni 2.96, 5 B 2.97-3.12
Tm: 0.5000 0.5000 0.4614  5 As 2.83-3.12, 4 Ni 2.94, 5 B 2.97-3.12
Ni: 0.0000 0.5000 0.7294  4 B 2.08-2.09
Ni: 0.5000 0.0000 0.7294  4 B 2.08-2.09
B: 0.0000 0.0000 0.6393  4 Ni 2.08, 1 As 2.12
B: 0.5000 0.5000 0.8229  4 Ni 2.09, 1 As 2.13
As: 0.0000 0.0000 0.3817  1 B 2.12
As: 0.5000 0.5000 0.0817  1 B 2.13

## Properties
E_tot in eV for the cell shown: -48.0
Space-group type: P4mm, No. 99